Compound: Tl7SnHg4
Source: Alexandria
Functional: PBE
Structure: relaxed

a = 3.714 Å, b = 3.714 Å, c = 29.898 Å
α = 90.00°, β = 90.00°, γ = 120.00°
Fractional coordinates of all 12 atoms:
Tl (0.000, 0.000, 0.000)
Tl (0.000, 0.000, 0.251)
Tl (0.000, 0.000, 0.749)
Tl (0.333, 0.667, 0.161)
Tl (0.333, 0.667, 0.415)
Tl (0.667, 0.333, 0.585)
Tl (0.667, 0.333, 0.839)
Sn (0.000, 0.000, 0.500)
Hg (0.333, 0.667, 0.668)
Hg (0.333, 0.667, 0.919)
Hg (0.667, 0.333, 0.081)
Hg (0.667, 0.333, 0.332)

For the density of states at the Fermi level, the calculation gives 0.4811 states/eV per atom. The formation energy comes out at 0.021 eV per atom. For the electronic total energy, the calculation gives -1.794 eV/atom. As for the magnetic moment: 0.00 μB per formula unit.